# LiTaRh4, optimized geometry, DFT PBE-GGA
# **Energy above the lowest structure with this stoichiometry**: 0.008 eV per atom
# **Spin magnetization**: 0.00 μB/atom
# **Energy relative to the elements**: -144 meV/atom
# **Density of states at the Fermi level**: 0.975 states/eV/atom
data_LiTaRh4
_symmetry_space_group_name_H-M 'P 1'
_symmetry_Int_Tables_number 1
_cell_length_a 5.085
_cell_length_b 5.085
_cell_length_c 5.085
_cell_angle_alpha 60.00
_cell_angle_beta 60.00
_cell_angle_gamma 60.00
loop_
_symmetry_equiv_pos_as_xyz
'x,y,z'
loop_
_atom_site_label
_atom_site_fract_x
_atom_site_fract_y
_atom_site_fract_z
Li1 0.000 0.000 0.000
Ta1 0.250 0.250 0.250
Rh1 0.124 0.625 0.625
Rh2 0.625 0.124 0.625
Rh3 0.625 0.625 0.124
Rh4 0.625 0.625 0.625